First-principles (PBE+U) data for crystalline MnGeF3 at its relaxed geometry, as listed in Alexandria via LeMat-Bulk.

Cell lengths 4.434, 4.434, 4.434 Å; angles 90.00, 90.00, 90.00 degrees
Last column: magnetic moment on the atom in μB.
Element x y z (fractional)
Ge 0.000 0.000 0.000  0.01
Mn 0.500 0.500 0.500  5.05
F 0.000 0.500 0.000  0.07
F 0.000 0.000 0.500  0.05
F 0.500 0.000 0.000  0.04

Output
For the density of states at the Fermi level, the calculation gives 0.001 states/eV/atom. The calculation puts the size of the total moment at 6.000 μB/cell. The space group is No. 221. Its energy above the most stable polymorph in this dataset is 242 meV/atom.


First-principles (PBE+U) data for crystalline MnFeO3 at its relaxed geometry, as listed in Alexandria via LeMat-Bulk.

Cell lengths 3.100, 5.769, 6.752 Å; angles 107.14, 90.00, 105.58 degrees
Last column: magnetic moment on the atom in μB.
Element x y z (fractional)
Mn 0.846 0.693 0.169  4.00
Mn 0.154 0.307 0.831  4.00
Fe 0.638 0.275 0.327  4.35
Fe 0.362 0.725 0.673  4.35
O 0.026 0.052 0.288  0.19
O 0.974 0.948 0.712  0.19
O 0.337 0.675 0.960  0.03
O 0.663 0.325 0.040  0.03
O 0.292 0.584 0.363  0.21
O 0.708 0.416 0.636  0.21

Output
As for the total energy: -7.043 eV per atom. The calculation puts the size of the total moment at 18.000 μB/cell. The space group is No. 12.